# PuNiTeO6 | Alexandria | PBE+U | optimized geometry
# total magnetic moment: 0.000 μB per atom
# calculated volume: 13.1 Å³ per atom
# electronic total energy: -63.3 eV/f.u.
data_PuNiTeO6
_symmetry_space_group_name_H-M 'P -3 1 c'
_symmetry_Int_Tables_number 163
_symmetry_space_group_name_Hall '-P 3 2c'
_cell_length_a 5.5611
_cell_length_b 5.5611
_cell_length_c 8.8357
_cell_angle_alpha 90.00
_cell_angle_beta 90.00
_cell_angle_gamma 120.00
loop_
_atom_site_label
_atom_site_fract_x
_atom_site_fract_y
_atom_site_fract_z
Pu1 0.3333 0.6667 0.2500
Ni1 0.0000 0.0000 0.0000
Te1 0.3333 0.6667 0.7500
O1 0.0093 0.3435 0.1286